The following is a PBE with a Hubbard U calculation of a relaxed BaNa2V2CuO8 crystal, from the Alexandria database.

abc: 9.4871 5.8631 14.1756
angles: 90.00 93.63 90.00
With the nearest neighbours (Å) after each atom.
Space group C2/c (No. 15)
Asymmetric unit:
Ba: 0.0000 0.1331 0.2500 [4 per cell]  10 O 2.77-3.05
Na: 0.1590 0.4156 0.5889 [8 per cell]  5 O 2.33-2.52
V: 0.1801 0.4059 0.8718 [8 per cell]  4 O 1.72-1.80
Cu: 0.0000 0.0000 0.0000 [4 per cell]  4 O 1.96-2.00
O: 0.0564 0.1824 0.8924 [8 per cell]  1 V 1.80, 1 Cu 1.96
O: 0.1312 0.3433 0.4230 [8 per cell]  1 V 1.72
O: 0.1468 0.1583 0.0835 [8 per cell]  1 V 1.76
O: 0.1842 0.4587 0.7528 [8 per cell]  1 V 1.72

uncorrected energy: -6.455 eV per atom